1.
{
  "formula": "Y4TmTe2",
  "functional": "PBE-GGA",
  "state": "optimized geometry",
  "cell": [[2.7163, 1.5682, 8.8361], [-2.7163, 1.5682, 8.8361], [0.0000, -3.1365, 8.8361]],
  "species": ["Y", "Y", "Y", "Y", "Tm", "Te", "Te"],
  "fractional_positions": [[0.1339, 0.1339, 0.1339], [0.2662, 0.2662, 0.2662], [0.7338, 0.7338, 0.7338], [0.8661, 0.8661, 0.8661], [0.5000, 0.5000, 0.5000], [0.3840, 0.3840, 0.3840], [0.6160, 0.6160, 0.6160]],
  "e_form_raw_ev_per_atom": -0.516,
  "rho_g_cm3": 5.73,
  "space_group": "No. 166",
  "e_tot_ev_per_atom": -5.75
}

---

2.
{
  "formula": "Y3Tm4Te8",
  "functional": "PBE-GGA",
  "state": "optimized geometry",
  "cell": [[6.1030, -6.1053, 0.0000], [6.1030, 6.1053, 0.0000], [-6.1029, 0.0000, 6.1072]],
  "species": ["Y", "Y", "Y", "Tm", "Tm", "Tm", "Tm", "Te", "Te", "Te", "Te", "Te", "Te", "Te", "Te"],
  "fractional_positions": [[0.0000, 0.0000, 0.0000], [0.0000, 0.5000, 0.0000], [0.5000, 0.0000, 0.0000], [0.0000, 0.0000, 0.5000], [0.0000, 0.5000, 0.5000], [0.5000, 0.0000, 0.5000], [0.5000, 0.5000, 0.0000], [0.2518, 0.7482, 0.0000], [0.2540, 0.7460, 0.5000], [0.2557, 0.2557, 0.0079], [0.2559, 0.2559, 0.5035], [0.7441, 0.7441, 0.4965], [0.7443, 0.7443, 0.9921], [0.7460, 0.2540, 0.5000], [0.7482, 0.2518, 0.0000]],
  "e_form_raw_ev_per_atom": -1.324,
  "rho_g_cm3": 7.16,
  "space_group": "No. 12",
  "e_tot_ev_per_atom": -5.49
}